Arrangement one

# PBE CsCd2In3, relaxed
data_CsCd2In3
_chemical_formula_sum 'Cs4 Cd8 In12'
_cell_length_a 19.078
_cell_length_b 5.259
_cell_length_c 8.300
_cell_angle_alpha 90.00
_cell_angle_beta 112.52
_cell_angle_gamma 90.00
_space_group_name_H-M_alt 'C 1 2/m 1'
_space_group_IT_number 12
loop_
_space_group_symop_operation_xyz
'x,y,z'
'-x,-y,-z'
'-x,y,-z'
'x,-y,z'
'x+1/2,y+1/2,z'
'-x+1/2,-y+1/2,-z'
'-x+1/2,y+1/2,-z'
'x+1/2,-y+1/2,z'
loop_
_atom_site_label
_atom_site_type_symbol
_atom_site_fract_x
_atom_site_fract_y
_atom_site_fract_z
Cs1 Cs 0.107 0.000 0.151
Cd1 Cd 0.008 0.500 0.701
Cd2 Cd 0.238 0.000 0.703
In1 In 0.077 0.000 0.651
In2 In 0.162 0.500 0.508
In3 In 0.185 0.500 0.899
# * total moment: 0.0 μB per cell
# * density of states at the Fermi level: 2.4 states/eV/f.u.
# * calculated volume: 32.1 Å³/atom
# * ρ: 6063 kg/m³

Arrangement two

# PBE CsCd2In3, relaxed
data_CsCd2In3
_chemical_formula_sum 'Cs1 Cd2 In3'
_cell_length_a 6.5982
_cell_length_b 6.5982
_cell_length_c 4.9656
_cell_angle_alpha 90.00
_cell_angle_beta 90.00
_cell_angle_gamma 120.00
_space_group_name_H-M_alt 'P 6/m m m'
_space_group_IT_number 191
_space_group_name_Hall '-P 6 2'
loop_
_atom_site_label
_atom_site_type_symbol
_atom_site_fract_x
_atom_site_fract_y
_atom_site_fract_z
Cs1 Cs 0.0000 0.0000 0.0000
Cd1 Cd 0.3333 0.6667 0.0000
In1 In 0.0000 0.5000 0.5000
# * total moment: 0.0 μB per cell
# * density of states at the Fermi level: 3.3 states/eV/f.u.
# * calculated volume: 31.2 Å³/atom
# * ρ: 6228 kg/m³

The data favor arrangement two; the next most stable structure lies 7 meV/atom above it.